1.
The following is a SCAN calculation of Mn4RuW at its PBEsol-relaxed geometry, from Alexandria.

Lattice parameters (Å, degrees): 4.6240 4.6240 4.6240 60.00 60.00 60.00
With the nearest neighbours (Å) after each atom.
Fractional positions:
Mn1 0.3766 0.3766 0.3766  6 Mn 2.28-2.34
Mn2 0.3766 0.3766 0.8702  6 Mn 2.28-2.34
Mn3 0.3766 0.8702 0.3766  6 Mn 2.28-2.34
Mn4 0.8702 0.3766 0.3766  6 Mn 2.28-2.34
Ru1 0.7500 0.7500 0.7500  12 Mn 2.71, 4 W 2.83
W1 0.0000 0.0000 0.0000  12 Mn 2.71, 4 Ru 2.83

- Space-group type: F-43m
- Formation energy: 0.26 eV per formula unit


2.
The following is a SCAN calculation of CaTl2Hg2 at its PBEsol-relaxed geometry, from Alexandria.

Lattice parameters (Å, degrees): 8.1227 8.1227 4.0512 90.00 90.00 90.00
With the nearest neighbours (Å) after each atom.
Fractional positions:
Ca1 0.0000 0.0000 0.0000  4 Hg 3.18
Ca2 0.5000 0.5000 0.0000  4 Hg 3.18
Tl1 0.1711 0.3289 0.5000  6 Hg 3.05-3.20
Tl2 0.3289 0.8289 0.5000  6 Hg 3.05-3.20
Tl3 0.6711 0.1711 0.5000  6 Hg 3.05-3.20
Tl4 0.8289 0.6711 0.5000  6 Hg 3.05-3.20
Hg1 0.1306 0.6306 0.0000  1 Hg 3.00, 6 Tl 3.05-3.20, 2 Ca 3.18
Hg2 0.3694 0.1306 0.0000  1 Hg 3.00, 6 Tl 3.05-3.20, 2 Ca 3.18
Hg3 0.6306 0.8694 0.0000  1 Hg 3.00, 6 Tl 3.05-3.20, 2 Ca 3.18
Hg4 0.8694 0.3694 0.0000  1 Hg 3.00, 6 Tl 3.05-3.20, 2 Ca 3.18

- Relative energy among the computed polymorphs: 0.0000 eV per atom
- Space-group type: P4/mbm
- Formation energy: -1.22 eV per formula unit


3.
The following is a SCAN calculation of Li2TaC2 at its PBEsol-relaxed geometry, from Alexandria.

Lattice parameters (Å, degrees): 6.0171 6.0171 2.4650 90.00 90.00 90.00
With the nearest neighbours (Å) after each atom.
Fractional positions:
Li1 0.1059 0.3941 0.0000  1 Li 1.80
Li2 0.3941 0.8941 0.0000  1 Li 1.80
Li3 0.6059 0.1059 0.0000  1 Li 1.80
Li4 0.8941 0.6059 0.0000  1 Li 1.80
Ta1 0.0000 0.0000 0.0000  4 Li 2.46, 2 Ta 2.46, 8 C 2.51
Ta2 0.5000 0.5000 0.0000  4 Li 2.46, 2 Ta 2.46, 8 C 2.51
C1 0.1909 0.6909 0.5000  6 Li 2.12-2.23
C2 0.3091 0.1909 0.5000  6 Li 2.12-2.23
C3 0.6909 0.8091 0.5000  6 Li 2.12-2.23
C4 0.8091 0.3091 0.5000  6 Li 2.12-2.23

- Relative energy among the computed polymorphs: 0.0076 eV per atom
- Space-group type: P4/mbm
- Formation energy: 4.58 eV per formula unit


4.
The following is a SCAN calculation of Ta2MoW at its PBEsol-relaxed geometry, from Alexandria.

Lattice parameters (Å, degrees): 2.7953 2.7953 8.9755 90.00 90.00 110.24
With the nearest neighbours (Å) after each atom.
Fractional positions:
Ta1 0.0000 0.0000 0.0000  2 Mo 2.74, 6 Ta 2.80-2.85
Ta2 0.5000 0.5000 0.2628  2 W 2.76, 6 Ta 2.80-2.85
Mo1 0.5000 0.5000 0.7520  2 W 2.67, 2 Ta 2.74, 4 Mo 2.80
W1 0.0000 0.0000 0.5139  2 Mo 2.67, 2 Ta 2.76, 4 W 2.80

- Space-group type: Cmm2
- Formation energy: -0.28 eV per formula unit


5.
The following is a SCAN calculation of LaBIO2 at its PBEsol-relaxed geometry, from Alexandria.

Lattice parameters (Å, degrees): 4.2791 4.2791 6.7963 90.00 90.00 90.00
With the nearest neighbours (Å) after each atom.
Fractional positions:
La1 0.0000 0.0000 0.0000  4 O 2.14
B1 0.5000 0.5000 0.5000  4 I 3.03
I1 0.0000 0.0000 0.5000  4 B 3.03
O1 0.0000 0.5000 0.0000  2 La 2.14
O2 0.5000 0.0000 0.0000  2 La 2.14

- Uncorrected formation energy: -0.512 eV per atom
- Space-group type: P4/mmm


6.
The following is a SCAN calculation of K3Ag at its PBEsol-relaxed geometry, from Alexandria.

Lattice parameters (Å, degrees): 9.3034 10.8641 7.3799 90.00 90.00 90.00
With the nearest neighbours (Å) after each atom.
Fractional positions:
K1 0.0319 0.2500 0.1196  2 Ag 3.45-3.53
K2 0.1694 0.0616 0.6496  3 Ag 3.48-3.73
K3 0.1694 0.4384 0.6496  3 Ag 3.48-3.73
K4 0.3306 0.5616 0.1495  3 Ag 3.48-3.73
K5 0.3306 0.9384 0.1495  3 Ag 3.48-3.73
K6 0.4681 0.7500 0.6196  2 Ag 3.45-3.53
K7 0.5319 0.2500 0.3804  2 Ag 3.45-3.53
K8 0.6694 0.0616 0.8504  3 Ag 3.48-3.73
K9 0.6694 0.4384 0.8504  3 Ag 3.48-3.73
K10 0.8306 0.5616 0.3504  3 Ag 3.48-3.73
K11 0.8306 0.9384 0.3504  3 Ag 3.48-3.73
K12 0.9681 0.7500 0.8804  2 Ag 3.45-3.53
Ag1 0.1240 0.7500 0.4438  8 K 3.45-3.73
Ag2 0.3760 0.2500 0.9438  8 K 3.45-3.73
Ag3 0.6240 0.7500 0.0562  8 K 3.45-3.73
Ag4 0.8760 0.2500 0.5562  8 K 3.45-3.73

- Relative energy among the computed polymorphs: 0.0000 eV per atom
- Space-group type: Pnma
- Formation energy: 0.23 eV per formula unit


7.
The following is a SCAN calculation of FeBiB3 at its PBEsol-relaxed geometry, from Alexandria.

Lattice parameters (Å, degrees): 4.5802 4.5802 4.5802 90.00 90.00 90.00
With the nearest neighbours (Å) after each atom.
Fractional positions:
Fe1 0.0000 0.0000 0.0000  12 B 3.24
Bi1 0.5000 0.5000 0.5000  6 B 2.29
B1 0.0000 0.5000 0.5000  2 Bi 2.29
B2 0.5000 0.0000 0.5000  2 Bi 2.29
B3 0.5000 0.5000 0.0000  2 Bi 2.29

- Space-group type: Pm-3m
- Formation energy: 14.96 eV per formula unit


8.
The following is a SCAN calculation of K2BaIr at its PBEsol-relaxed geometry, from Alexandria.

Lattice parameters (Å, degrees): 13.2354 13.2354 13.2354 14.96 14.96 14.96
With the nearest neighbours (Å) after each atom.
Fractional positions:
K1 0.2272 0.2272 0.2272  3 Ir 3.10, 6 K 3.45
K2 0.7728 0.7728 0.7728  3 Ir 3.10, 6 K 3.45
Ba1 0.0000 0.0000 0.0000  6 Ba 3.45
Ir1 0.5000 0.5000 0.5000  6 K 3.10, 6 Ir 3.45

- Relative energy among the computed polymorphs: 0.6528 eV per atom
- Space-group type: R-3m
- Formation energy: 4.18 eV per formula unit


9.
The following is a SCAN calculation of MnFe2W at its PBEsol-relaxed geometry, from Alexandria.

Lattice parameters (Å, degrees): 4.3551 4.3551 4.4055 99.82 99.82 34.32
With the nearest neighbours (Å) after each atom.
Fractional positions:
Mn1 0.0000 0.0000 0.0000  6 Fe 2.44-2.51, 4 W 2.55, 2 Mn 2.57
Fe1 0.2578 0.2578 0.7794  4 Fe 2.35-2.57, 3 Mn 2.44-2.51, 3 W 2.54-2.61
Fe2 0.7422 0.7422 0.2206  4 Fe 2.35-2.57, 3 Mn 2.44-2.51, 3 W 2.54-2.61
W1 0.5000 0.5000 0.5000  6 Fe 2.54-2.61, 4 Mn 2.55, 2 W 2.57

- Relative energy among the computed polymorphs: 0.3572 eV per atom
- Space-group type: C2/m
- Formation energy: 1.45 eV per formula unit


10.
The following is a SCAN calculation of Zr2MnCu at its PBEsol-relaxed geometry, from Alexandria.

Lattice parameters (Å, degrees): 4.4994 4.4994 4.4994 60.00 60.00 60.00
With the nearest neighbours (Å) after each atom.
Fractional positions:
Zr1 0.2500 0.2500 0.2500  4 Mn 2.76, 4 Cu 2.76
Zr2 0.7500 0.7500 0.7500  4 Mn 2.76, 4 Cu 2.76
Mn1 0.0000 0.0000 0.0000  8 Zr 2.76
Cu1 0.5000 0.5000 0.5000  8 Zr 2.76

- Relative energy among the computed polymorphs: 0.0240 eV per atom
- Space-group type: Fm-3m
- Formation energy: -0.54 eV per formula unit


11.
The following is a SCAN calculation of Y2MnSe at its PBEsol-relaxed geometry, from Alexandria.

Lattice parameters (Å, degrees): 6.2643 6.2643 6.2643 146.55 140.42 52.77
With the nearest neighbours (Å) after each atom.
Fractional positions:
Y1 0.0000 0.0000 0.0000  4 Se 2.93
Y2 0.7361 0.2361 0.5000  4 Mn 2.79, 2 Se 2.95
Mn1 0.2547 0.7547 0.5000  2 Se 2.58, 4 Y 2.79
Se1 0.4192 0.4192 0.0000  2 Mn 2.58

- Uncorrected formation energy: -0.618 eV per atom
- Space-group type: Imm2


12.
The following is a SCAN calculation of TaMn4Tc at its PBEsol-relaxed geometry, from Alexandria.

Lattice parameters (Å, degrees): 4.6801 4.6801 4.6801 60.00 60.00 60.00
With the nearest neighbours (Å) after each atom.
Fractional positions:
Ta1 0.0000 0.0000 0.0000  12 Mn 2.74, 4 Tc 2.87
Mn1 0.1200 0.6267 0.6267  6 Mn 2.31-2.37
Mn2 0.6267 0.1200 0.6267  6 Mn 2.31-2.37
Mn3 0.6267 0.6267 0.1200  6 Mn 2.31-2.37
Mn4 0.6267 0.6267 0.6267  6 Mn 2.31-2.37
Tc1 0.2500 0.2500 0.2500  12 Mn 2.75, 4 Ta 2.87

- Space-group type: F-43m
- Formation energy: -0.32 eV per formula unit


13.
The following is a SCAN calculation of CaSn2H at its PBEsol-relaxed geometry, from Alexandria.

Lattice parameters (Å, degrees): 5.0135 5.0135 5.0135 60.00 60.00 60.00
With the nearest neighbours (Å) after each atom.
Fractional positions:
Ca1 0.0000 0.0000 0.0000  8 Sn 3.07
Sn1 0.2500 0.2500 0.2500  4 H 3.07, 4 Ca 3.07
Sn2 0.7500 0.7500 0.7500  4 H 3.07, 4 Ca 3.07
H1 0.5000 0.5000 0.5000  8 Sn 3.07

- Space-group type: Fm-3m
- Calculated total energy: -20.882 eV per atom


14.
The following is a SCAN calculation of Ta2PtSeI at its PBEsol-relaxed geometry, from Alexandria.

Lattice parameters (Å, degrees): 4.9729 4.9729 4.8930 90.00 90.00 90.00
With the nearest neighbours (Å) after each atom.
Fractional positions:
Ta1 0.0000 0.5000 0.0000  2 Pt 2.49
Ta2 0.5000 0.0000 0.0000  2 Pt 2.49
Pt1 0.0000 0.0000 0.0000  2 Se 2.45, 4 Ta 2.49
Se1 0.0000 0.0000 0.5000  2 Pt 2.45
I1 0.5000 0.5000 0.5000  8 Ta 3.49, 4 Se 3.52

- Uncorrected formation energy: 1.157 eV per atom
- Space-group type: P4/mmm


15.
The following is a SCAN calculation of AlReMo2 at its PBEsol-relaxed geometry, from Alexandria.

Lattice parameters (Å, degrees): 3.1347 3.1347 6.0183 90.00 90.00 90.00
With the nearest neighbours (Å) after each atom.
Fractional positions:
Al1 0.0000 0.0000 0.0000  4 Re 2.66, 5 Mo 2.69-2.98
Re1 0.5000 0.5000 0.7543  4 Al 2.66, 4 Mo 2.67
Mo1 0.0000 0.0000 0.5055  4 Re 2.67, 4 Mo 2.69, 1 Al 2.98
Mo2 0.5000 0.5000 0.2534  4 Mo 2.69, 4 Al 2.69, 1 Re 3.00

- Space-group type: P4mm
- Formation energy: -0.29 eV per formula unit


16.
The following is a SCAN calculation of LaSi2Rh3 at its PBEsol-relaxed geometry, from Alexandria.

Lattice parameters (Å, degrees): 5.5550 5.5550 3.6477 90.00 90.00 120.00
With the nearest neighbours (Å) after each atom.
Fractional positions:
La1 0.0000 0.0000 0.0000  6 Si 3.21, 12 Rh 3.32
Si1 0.3333 0.6667 0.0000  6 Rh 2.43
Si2 0.6667 0.3333 0.0000  6 Rh 2.43
Rh1 0.0000 0.5000 0.5000  4 Si 2.43
Rh2 0.5000 0.0000 0.5000  4 Si 2.43
Rh3 0.5000 0.5000 0.5000  4 Si 2.43

- Uncorrected formation energy: -1.146 eV per atom
- Space-group type: P6/mmm


17.
The following is a SCAN calculation of CoSbN2O at its PBEsol-relaxed geometry, from Alexandria.

Lattice parameters (Å, degrees): 3.9766 3.9766 3.9005 90.00 90.00 90.00
With the nearest neighbours (Å) after each atom.
Fractional positions:
Co1 0.0000 0.0000 0.0000  8 N 2.79, 4 O 2.81
Sb1 0.5000 0.5000 0.5000  2 O 1.95, 4 N 1.99
N1 0.0000 0.5000 0.5000  2 Sb 1.99
N2 0.5000 0.0000 0.5000  2 Sb 1.99
O1 0.5000 0.5000 0.0000  2 Sb 1.95

- Uncorrected formation energy: 0.880 eV per atom
- Space-group type: P4/mmm


18.
The following is a SCAN calculation of MgTl2Cd at its PBEsol-relaxed geometry, from Alexandria.

Lattice parameters (Å, degrees): 5.1778 5.1778 5.1778 60.00 60.00 60.00
With the nearest neighbours (Å) after each atom.
Fractional positions:
Mg1 0.0000 0.0000 0.0000  8 Tl 3.17
Tl1 0.2500 0.2500 0.2500  4 Cd 3.17, 4 Mg 3.17
Tl2 0.7500 0.7500 0.7500  4 Cd 3.17, 4 Mg 3.17
Cd1 0.5000 0.5000 0.5000  8 Tl 3.17

- Relative energy among the computed polymorphs: 0.0425 eV per atom
- Space-group type: Fm-3m
- Formation energy: 0.06 eV per formula unit


19.
The following is a SCAN calculation of Zr3SiBi at its PBEsol-relaxed geometry, from Alexandria.

Lattice parameters (Å, degrees): 5.2830 5.2830 5.2830 90.00 90.00 90.00
With the nearest neighbours (Å) after each atom.
Fractional positions:
Zr1 0.0000 0.0000 0.5000  2 Bi 2.64
Zr2 0.0000 0.5000 0.0000  2 Bi 2.64
Zr3 0.5000 0.0000 0.0000  2 Bi 2.64
Si1 0.5000 0.5000 0.5000  12 Zr 3.74
Bi1 0.0000 0.0000 0.0000  6 Zr 2.64

- Uncorrected formation energy: 1.252 eV per atom
- Space-group type: Pm-3m


20.
The following is a SCAN calculation of La17Cd12 at its PBEsol-relaxed geometry, from Alexandria.

Lattice parameters (Å, degrees): 10.1304 10.1304 10.1304 109.47 109.47 109.47
With the nearest neighbours (Å) after each atom.
Fractional positions:
La1 0.0000 0.0000 0.0000  12 Cd 3.52, 4 La 3.59
La2 0.0000 0.0000 0.6456  3 La 3.14, 6 Cd 3.48
La3 0.0000 0.4190 0.6997  1 La 3.14, 5 Cd 3.32-3.47
La4 0.0000 0.6456 0.0000  3 La 3.14, 6 Cd 3.48
La5 0.0000 0.6997 0.4190  1 La 3.14, 5 Cd 3.32-3.47
La6 0.2807 0.5810 0.5810  1 La 3.14, 5 Cd 3.32-3.47
La7 0.3003 0.3003 0.7193  1 La 3.14, 5 Cd 3.32-3.47
La8 0.3003 0.7193 0.3003  1 La 3.14, 5 Cd 3.32-3.47
La9 0.3544 0.3544 0.3544  3 La 3.14, 6 Cd 3.48
La10 0.4190 0.0000 0.6997  1 La 3.14, 5 Cd 3.32-3.47
La11 0.4190 0.6997 0.0000  1 La 3.14, 5 Cd 3.32-3.47
La12 0.5810 0.2807 0.5810  1 La 3.14, 5 Cd 3.32-3.47
La13 0.5810 0.5810 0.2807  1 La 3.14, 5 Cd 3.32-3.47
La14 0.6456 0.0000 0.0000  3 La 3.14, 6 Cd 3.48
La15 0.6997 0.0000 0.4190  1 La 3.14, 5 Cd 3.32-3.47
La16 0.6997 0.4190 0.0000  1 La 3.14, 5 Cd 3.32-3.47
La17 0.7193 0.3003 0.3003  1 La 3.14, 5 Cd 3.32-3.47
Cd1 0.0000 0.1794 0.3629  3 Cd 2.97-3.03, 2 La 3.32
Cd2 0.0000 0.3629 0.1794  3 Cd 2.97-3.03, 2 La 3.32
Cd3 0.1794 0.0000 0.3629  3 Cd 2.97-3.03, 2 La 3.32
Cd4 0.1794 0.3629 0.0000  3 Cd 2.97-3.03, 2 La 3.32
Cd5 0.1834 0.8206 0.8206  3 Cd 2.97-3.03, 2 La 3.32
Cd6 0.3629 0.0000 0.1794  3 Cd 2.97-3.03, 2 La 3.32
Cd7 0.3629 0.1794 0.0000  3 Cd 2.97-3.03, 2 La 3.32
Cd8 0.6371 0.6371 0.8166  3 Cd 2.97-3.03, 2 La 3.32
Cd9 0.6371 0.8166 0.6371  3 Cd 2.97-3.03, 2 La 3.32
Cd10 0.8166 0.6371 0.6371  3 Cd 2.97-3.03, 2 La 3.32
Cd11 0.8206 0.1834 0.8206  3 Cd 2.97-3.03, 2 La 3.32
Cd12 0.8206 0.8206 0.1834  3 Cd 2.97-3.03, 2 La 3.32

- Space-group type: I-43m
- Formation energy: -9.88 eV per formula unit